Record 1
Material: PrAs2Pd6
Method: DFT, PBE
State: relaxed

CIF file:
```
data_PrAs2Pd6
_cell_length_a 4.249
_cell_length_b 4.249
_cell_length_c 8.808
_cell_angle_alpha 90.00
_cell_angle_beta 90.00
_cell_angle_gamma 90.00
_space_group_name_H-M_alt 'P 1'
_space_group_IT_number 1
loop_
_space_group_symop_operation_xyz
'x,y,z'
loop_
_atom_site_label
_atom_site_type_symbol
_atom_site_fract_x
_atom_site_fract_y
_atom_site_fract_z
_atom_site_occupancy
Pr1 Pr 0.000 0.000 0.000 1
As1 As 0.500 0.500 0.145 1
As2 As 0.500 0.500 0.855 1
Pd1 Pd 0.000 0.500 0.289 1
Pd2 Pd 0.500 0.000 0.289 1
Pd3 Pd 0.000 0.500 0.711 1
Pd4 Pd 0.500 0.000 0.711 1
Pd5 Pd 0.500 0.500 0.500 1
Pd6 Pd 0.000 0.000 0.500 1
```

Calculated values
Calculated formation energy (meV per atom): -516
Total energy (eV/atom): -5.54
Theoretical density (g/cm3): 9.7
SG: P4/mmm (123)


Record 2
Material: PrAs3Pd4
Method: DFT, PBE
State: relaxed

CIF file:
```
data_PrAs3Pd4
_cell_length_a 4.298
_cell_length_b 4.298
_cell_length_c 8.129
_cell_angle_alpha 90.00
_cell_angle_beta 90.00
_cell_angle_gamma 90.00
_space_group_name_H-M_alt 'P 1'
_space_group_IT_number 1
loop_
_space_group_symop_operation_xyz
'x,y,z'
loop_
_atom_site_label
_atom_site_type_symbol
_atom_site_fract_x
_atom_site_fract_y
_atom_site_fract_z
_atom_site_occupancy
Pr1 Pr 0.000 0.000 0.500 1
As1 As 0.000 0.000 0.000 1
As2 As 0.500 0.500 0.345 1
As3 As 0.500 0.500 0.655 1
Pd1 Pd 0.500 0.000 0.179 1
Pd2 Pd 0.000 0.500 0.179 1
Pd3 Pd 0.500 0.000 0.821 1
Pd4 Pd 0.000 0.500 0.821 1
```

Calculated values
Calculated formation energy (meV per atom): -649
Total energy (eV/atom): -5.59
Theoretical density (g/cm3): 8.8
SG: P4/mmm (123)


Record 3
Material: PrAs4Pd12
Method: DFT, PBE
State: relaxed

CIF file:
```
data_PrAs4Pd12
_cell_length_a 7.444
_cell_length_b 7.444
_cell_length_c 7.444
_cell_angle_alpha 109.47
_cell_angle_beta 109.47
_cell_angle_gamma 109.47
_space_group_name_H-M_alt 'P 1'
_space_group_IT_number 1
loop_
_space_group_symop_operation_xyz
'x,y,z'
loop_
_atom_site_label
_atom_site_type_symbol
_atom_site_fract_x
_atom_site_fract_y
_atom_site_fract_z
_atom_site_occupancy
Pr1 Pr 0.000 0.000 0.000 1
As1 As 0.000 0.500 0.000 1
As2 As 0.500 0.000 0.000 1
As3 As 0.500 0.500 0.500 1
As4 As 0.000 0.000 0.500 1
Pd1 Pd 0.836 0.342 0.179 1
Pd2 Pd 0.342 0.506 0.164 1
Pd3 Pd 0.821 0.164 0.658 1
Pd4 Pd 0.342 0.179 0.836 1
Pd5 Pd 0.179 0.836 0.342 1
Pd6 Pd 0.658 0.494 0.836 1
Pd7 Pd 0.506 0.164 0.342 1
Pd8 Pd 0.494 0.836 0.658 1
Pd9 Pd 0.658 0.821 0.164 1
Pd10 Pd 0.836 0.658 0.494 1
Pd11 Pd 0.164 0.342 0.506 1
Pd12 Pd 0.164 0.658 0.821 1
```

Calculated values
Calculated formation energy (meV per atom): -283
Total energy (eV/atom): -5.32
Theoretical density (g/cm3): 9.0
SG: Im-3 (204)


Record 4
Material: Pr2As4Pd5
Method: DFT, PBE
State: relaxed

CIF file:
```
data_Pr2As4Pd5
_cell_length_a 5.820
_cell_length_b 5.810
_cell_length_c 8.065
_cell_angle_alpha 79.59
_cell_angle_beta 68.85
_cell_angle_gamma 59.94
_space_group_name_H-M_alt 'P 1'
_space_group_IT_number 1
loop_
_space_group_symop_operation_xyz
'x,y,z'
loop_
_atom_site_label
_atom_site_type_symbol
_atom_site_fract_x
_atom_site_fract_y
_atom_site_fract_z
_atom_site_occupancy
Pr1 Pr 0.859 0.000 0.282 1
Pr2 Pr 0.141 0.000 0.718 1
As1 As 0.479 0.302 0.740 1
As2 As 0.521 0.698 0.260 1
As3 As 0.219 0.302 0.260 1
As4 As 0.781 0.698 0.740 1
Pd1 Pd 0.500 0.000 0.000 1
Pd2 Pd 0.000 0.500 0.000 1
Pd3 Pd 0.500 0.500 0.000 1
Pd4 Pd 0.250 0.500 0.500 1
Pd5 Pd 0.750 0.500 0.500 1
```

Calculated values
Calculated formation energy (meV per atom): -669
Total energy (eV/atom): -5.59
Theoretical density (g/cm3): 8.4
SG: Fmmm (69)


Record 5
Material: Pr3As5Pd6
Method: DFT, PBE
State: relaxed

CIF file:
```
data_Pr3As5Pd6
_cell_length_a 4.217
_cell_length_b 10.134
_cell_length_c 12.901
_cell_angle_alpha 90.00
_cell_angle_beta 90.00
_cell_angle_gamma 90.00
_space_group_name_H-M_alt 'P 1'
_space_group_IT_number 1
loop_
_space_group_symop_operation_xyz
'x,y,z'
loop_
_atom_site_label
_atom_site_type_symbol
_atom_site_fract_x
_atom_site_fract_y
_atom_site_fract_z
_atom_site_occupancy
Pr1 Pr 0.000 0.247 0.665 1
Pr2 Pr 0.500 0.753 0.165 1
Pr3 Pr 0.500 0.753 0.835 1
Pr4 Pr 0.000 0.254 0.000 1
Pr5 Pr 0.500 0.746 0.500 1
Pr6 Pr 0.000 0.247 0.335 1
As1 As 0.000 0.524 0.875 1
As2 As 0.000 0.853 0.666 1
As3 As 0.000 0.854 0.000 1
As4 As 0.500 0.476 0.625 1
As5 As 0.500 0.146 0.500 1
As6 As 0.000 0.524 0.125 1
As7 As 0.500 0.476 0.375 1
As8 As 0.000 0.853 0.334 1
As9 As 0.500 0.147 0.834 1
As10 As 0.500 0.147 0.166 1
Pd1 Pd 0.000 0.001 0.831 1
Pd2 Pd 0.500 0.999 0.669 1
Pd3 Pd 0.500 0.394 0.813 1
Pd4 Pd 0.500 0.524 0.000 1
Pd5 Pd 0.000 0.476 0.500 1
Pd6 Pd 0.000 0.606 0.687 1
Pd7 Pd 0.000 0.606 0.313 1
Pd8 Pd 0.500 0.002 0.000 1
Pd9 Pd 0.000 0.001 0.169 1
Pd10 Pd 0.500 0.394 0.187 1
Pd11 Pd 0.000 0.998 0.500 1
Pd12 Pd 0.500 0.999 0.331 1
```

Calculated values
Calculated formation energy (meV per atom): -910
Total energy (eV/atom): -5.82
Theoretical density (g/cm3): 8.6
SG: Pmmn (59)


Record 6
Material: Pr2AsPd
Method: DFT, PBE
State: relaxed

CIF file:
```
data_Pr2AsPd
_cell_length_a 4.200
_cell_length_b 4.200
_cell_length_c 7.741
_cell_angle_alpha 74.26
_cell_angle_beta 74.26
_cell_angle_gamma 60.00
_space_group_name_H-M_alt 'P 1'
_space_group_IT_number 1
loop_
_space_group_symop_operation_xyz
'x,y,z'
loop_
_atom_site_label
_atom_site_type_symbol
_atom_site_fract_x
_atom_site_fract_y
_atom_site_fract_z
_atom_site_occupancy
Pr1 Pr 0.080 0.080 0.759 1
Pr2 Pr 0.253 0.253 0.241 1
As1 As 0.666 0.666 0.002 1
Pd1 Pd 0.501 0.501 0.498 1
```

Calculated values
Calculated formation energy (meV per atom): -960
Total energy (eV/atom): -5.81
Theoretical density (g/cm3): 6.8
SG: R3m (160)


Look up the calculated formation energy of the second one. -649 meV per atom